# PBEsol La2AgAu2, relaxed
# - Relative energy among the computed polymorphs: 0.000 eV/f.u.
# - Fermi-level density of states: 8.04 states/eV per cell
# - E_form: -634 meV/atom
# - Magnetization: 0.0 μB/f.u.
data_La2AgAu2
_cell_length_a 7.9021
_cell_length_b 7.9021
_cell_length_c 3.9823
_cell_angle_alpha 90.00
_cell_angle_beta 90.00
_cell_angle_gamma 90.00
_symmetry_space_group_name_H-M 'P 4/m b m'
_symmetry_Int_Tables_number 127
_symmetry_space_group_name_Hall '-P 4 2ab'
loop_
_atom_site_label
_atom_site_type_symbol
_atom_site_fract_x
_atom_site_fract_y
_atom_site_fract_z
La1 La 0.1719 0.3281 0.0000
Ag1 Ag 0.0000 0.0000 0.5000
Au1 Au 0.1290 0.6290 0.5000

# PBEsol ZnCrTe, relaxed
# - Fermi-level density of states: 1.70 states/eV per cell
# - Raw formation energy: 0.29 eV per atom
# - Magnetization: 0.0 μB/f.u.
data_ZnCrTe
_cell_length_a 3.3296
_cell_length_b 3.3296
_cell_length_c 8.4530
_cell_angle_alpha 90.00
_cell_angle_beta 90.00
_cell_angle_gamma 90.00
_symmetry_space_group_name_H-M 'I 4 m m'
_symmetry_Int_Tables_number 107
_symmetry_space_group_name_Hall 'I 4 -2'
loop_
_atom_site_label
_atom_site_type_symbol
_atom_site_fract_x
_atom_site_fract_y
_atom_site_fract_z
Zn1 Zn 0.0000 0.0000 0.0000
Cr1 Cr 0.0000 0.0000 0.6634
Te1 Te 0.0000 0.0000 0.3152

# PBEsol KSrTe2, relaxed
# - Fermi-level density of states: 6.06 states/eV per cell
# - Raw formation energy: -1.02 eV per atom
# - Magnetization: 0.6 μB/f.u.
data_KSrTe2
_cell_length_a 4.7491
_cell_length_b 4.7491
_cell_length_c 6.7301
_cell_angle_alpha 90.00
_cell_angle_beta 90.00
_cell_angle_gamma 90.00
_symmetry_space_group_name_H-M 'P 4/m m m'
_symmetry_Int_Tables_number 123
_symmetry_space_group_name_Hall '-P 4 2'
loop_
_atom_site_label
_atom_site_type_symbol
_atom_site_fract_x
_atom_site_fract_y
_atom_site_fract_z
K1 K 0.0000 0.0000 0.0000
Sr1 Sr 0.5000 0.5000 0.5000
Te1 Te 0.0000 0.0000 0.5000
Te2 Te 0.5000 0.5000 0.0000

# PBEsol Y4TaMn, relaxed
# - Fermi-level density of states: 26.99 states/eV per cell
# - E_form: 999 meV/atom
# - Magnetization: 2.9 μB/f.u.
data_Y4TaMn
_cell_length_a 8.5007
_cell_length_b 8.5007
_cell_length_c 8.5007
_cell_angle_alpha 90.00
_cell_angle_beta 90.00
_cell_angle_gamma 90.00
_symmetry_space_group_name_H-M 'F -4 3 m'
_symmetry_Int_Tables_number 216
_symmetry_space_group_name_Hall 'F -4 2 3'
loop_
_atom_site_label
_atom_site_type_symbol
_atom_site_fract_x
_atom_site_fract_y
_atom_site_fract_z
Y1 Y 0.1241 0.1241 0.1241
Ta1 Ta 0.2500 0.2500 0.7500
Mn1 Mn 0.0000 0.0000 0.5000

# PBEsol PrSBr, relaxed
# - Fermi-level density of states: 0.00 states/eV per cell
# - Raw formation energy: -2.01 eV per atom
# - Magnetization: 0.0 μB/f.u.
data_PrSBr
_cell_length_a 6.8849
_cell_length_b 13.6780
_cell_length_c 7.0672
_cell_angle_alpha 90.00
_cell_angle_beta 90.00
_cell_angle_gamma 90.00
_symmetry_space_group_name_H-M 'P b c a'
_symmetry_Int_Tables_number 61
_symmetry_space_group_name_Hall '-P 2ac 2ab'
loop_
_atom_site_label
_atom_site_type_symbol
_atom_site_fract_x
_atom_site_fract_y
_atom_site_fract_z
Pr1 Pr 0.2423 0.0927 0.0345
S1 S 0.0015 0.0257 0.7414
Br1 Br 0.1526 0.7064 0.3913

# PBEsol K3SiH, relaxed
# - Fermi-level density of states: 3.10 states/eV per cell
# - Calculated total energy: -2.2748 eV per atom
# - Magnetization: 2.0 μB/f.u.
data_K3SiH
_cell_length_a 5.2911
_cell_length_b 5.2911
_cell_length_c 5.2911
_cell_angle_alpha 90.00
_cell_angle_beta 90.00
_cell_angle_gamma 90.00
_symmetry_space_group_name_H-M 'P m -3 m'
_symmetry_Int_Tables_number 221
_symmetry_space_group_name_Hall '-P 4 2 3'
loop_
_atom_site_label
_atom_site_type_symbol
_atom_site_fract_x
_atom_site_fract_y
_atom_site_fract_z
K1 K 0.0000 0.0000 0.5000
Si1 Si 0.5000 0.5000 0.5000
H1 H 0.0000 0.0000 0.0000

# PBEsol KNbAg2Se4, relaxed
# - Raw formation energy: -0.62 eV per atom
# - Magnetization: 0.0 μB/f.u.
data_KNbAg2Se4
_cell_length_a 7.9839
_cell_length_b 19.0844
_cell_length_c 5.9792
_cell_angle_alpha 90.00
_cell_angle_beta 90.00
_cell_angle_gamma 90.00
_symmetry_space_group_name_H-M 'A m a 2'
_symmetry_Int_Tables_number 40
_symmetry_space_group_name_Hall 'A 2 -2a'
loop_
_atom_site_label
_atom_site_type_symbol
_atom_site_fract_x
_atom_site_fract_y
_atom_site_fract_z
K1 K 0.2500 0.1838 0.0000
Nb1 Nb 0.2500 0.3842 0.7190
Ag1 Ag 0.0000 0.0000 0.2543
Ag2 Ag 0.2500 0.3805 0.2193
Se1 Se 0.0042 0.1207 0.4495
Se2 Se 0.2500 0.2779 0.5006
Se3 Se 0.2500 0.4900 0.4769

# PBEsol KFeSeS, relaxed
# - Raw formation energy: -0.76 eV per atom
# - Magnetization: 0.0 μB/f.u.
data_KFeSeS
_cell_length_a 7.0068
_cell_length_b 11.2912
_cell_length_c 5.2841
_cell_angle_alpha 90.00
_cell_angle_beta 112.40
_cell_angle_gamma 90.00
_symmetry_space_group_name_H-M 'C 1 2 1'
_symmetry_Int_Tables_number 5
_symmetry_space_group_name_Hall 'C 2y'
loop_
_atom_site_label
_atom_site_type_symbol
_atom_site_fract_x
_atom_site_fract_y
_atom_site_fract_z
K1 K 0.0000 0.0000 0.0000
K2 K 0.0000 0.2809 0.5000
Fe1 Fe 0.0000 0.6462 0.0000
Fe2 Fe 0.0000 0.6484 0.5000
Se1 Se 0.2059 0.5278 0.3550
S1 S 0.1896 0.7536 0.8478

- Look up the magnetization of the fourth one.
  2.9 μB/f.u.

Copy entry 1 word for word.
# PBEsol La2AgAu2, relaxed
# - Relative energy among the computed polymorphs: 0.000 eV/f.u.
# - Fermi-level density of states: 8.04 states/eV per cell
# - E_form: -634 meV/atom
# - Magnetization: 0.0 μB/f.u.
data_La2AgAu2
_cell_length_a 7.9021
_cell_length_b 7.9021
_cell_length_c 3.9823
_cell_angle_alpha 90.00
_cell_angle_beta 90.00
_cell_angle_gamma 90.00
_symmetry_space_group_name_H-M 'P 4/m b m'
_symmetry_Int_Tables_number 127
_symmetry_space_group_name_Hall '-P 4 2ab'
loop_
_atom_site_label
_atom_site_type_symbol
_atom_site_fract_x
_atom_site_fract_y
_atom_site_fract_z
La1 La 0.1719 0.3281 0.0000
Ag1 Ag 0.0000 0.0000 0.5000
Au1 Au 0.1290 0.6290 0.5000

- Look up the magnetization of the fourth one.
  2.9 μB/f.u.

- Among the records above, which one has the highest magnetization?
  Y4TaMn